The following is a DFT calculation (PBE-GGA) of La4Au2Br5 after structural relaxation.

Values from the calculation:
crystal system	orthorhombic
space-group type	Immm, No. 71
ΔE_f (raw)	-1.3271	eV/atom

Structure (POSCAR):
```
La4Au2Br5
1.0
-1.3088 -3.8776 -0.2527
4.9015 -2.0957 6.7714
-12.2767 5.9697 5.2501
La Au Br
4 2 5
direct
0.0000 0.2865 0.0000 La
0.6545 0.6545 0.3090 La
0.0000 0.7135 0.0000 La
0.3455 0.3455 0.6910 La
0.4486 0.4486 0.8973 Au
0.5514 0.5514 0.1027 Au
0.8188 0.0866 0.6376 Br
0.8188 0.5509 0.6376 Br
0.1812 0.4491 0.3624 Br
0.1812 0.9134 0.3624 Br
0.5000 0.0000 0.0000 Br
```

The following is a DFT calculation (PBE-GGA) of CsErAs2O8 after structural relaxation.

Values from the calculation:
crystal system	trigonal
space-group type	P-3m1, No. 164
ΔE_f (raw)	-1.6219	eV/atom

Structure (POSCAR):
```
CsErAs2O8
1.0
-3.0007 1.5565 -4.7680
5.3113 -2.3794 -0.5371
-3.5468 -7.8429 -0.3282
Cs Er As O
1 1 2 8
direct
0.0000 0.0000 0.0000 Cs
0.0000 0.0000 0.5000 Er
0.6667 0.3333 0.2813 As
0.3333 0.6667 0.7187 As
0.3333 0.6667 0.9185 O
0.3466 0.1730 0.3440 O
0.8270 0.1736 0.3440 O
0.6667 0.3333 0.0815 O
0.1730 0.8264 0.6560 O
0.6534 0.8270 0.6560 O
0.1736 0.3466 0.6560 O
0.8264 0.6534 0.3440 O
```

The following is a DFT calculation (PBE-GGA) of Cd2In4GaHg2 after structural relaxation.

Values from the calculation:
crystal system	triclinic
formation energy	0.0442	eV/atom
space-group type	P-1, No. 2

Structure (POSCAR):
```
Cd2In4GaHg2
1.0
-5.5022 -3.2205 -1.5956
2.2388 -1.7996 -6.9026
2.8462 -2.0578 5.3566
Cd In Ga Hg
2 4 1 2
direct
0.1787 0.8322 0.5659 Cd
0.8213 0.1678 0.4341 Cd
0.6154 0.6901 0.8525 In
0.6301 0.7986 0.4300 In
0.3846 0.3099 0.1475 In
0.3699 0.2014 0.5700 In
0.0000 0.0000 0.0000 Ga
0.8573 0.3999 0.1097 Hg
0.1427 0.6001 0.8903 Hg
```

The following is a DFT calculation (PBE-GGA) of Pm4MgPt after structural relaxation.

Values from the calculation:
offset from the most stable computed form	434	meV/atom
crystal system	tetragonal
formation energy	-0.0403	eV/atom
space-group type	I4_1md, No. 109

Structure (POSCAR):
```
Pm4MgPt
1.0
8.2587 0.5319 0.0000
-2.8484 7.7702 0.0000
-2.7052 -4.1510 6.6287
Pm Mg Pt
8 2 2
direct
0.2748 0.9564 0.6816 Pm
0.7260 0.4211 0.6951 Pm
0.7064 0.5248 0.1816 Pm
0.1711 0.9760 0.1951 Pm
0.3433 0.5248 0.8184 Pm
0.7809 0.9760 0.8049 Pm
0.7260 0.0309 0.3049 Pm
0.2748 0.5933 0.3184 Pm
0.2461 0.2461 0.0000 Mg
0.9961 0.4961 0.5000 Mg
0.7521 0.7521 0.0000 Pt
0.5021 0.0021 0.5000 Pt
```

The following is a DFT calculation (PBE-GGA) of LaCePm2Pr2 after structural relaxation.

Values from the calculation:
crystal system	orthorhombic
formation energy	0.0917	eV/atom
space-group type	Pnnm, No. 58

Structure (POSCAR):
```
LaCePm2Pr2
1.0
5.8260 0.0000 0.0000
0.0000 10.0412 0.0000
0.0000 0.0000 7.1534
La Ce Pm Pr
2 2 4 4
direct
0.0000 0.0000 0.0000 La
0.5000 0.5000 0.5000 La
0.5000 0.5000 0.0000 Ce
0.0000 0.0000 0.5000 Ce
0.5000 0.8333 0.2498 Pm
0.5000 0.1667 0.7502 Pm
0.0000 0.6667 0.7498 Pm
0.0000 0.3333 0.2502 Pm
0.5000 0.1672 0.2494 Pr
0.0000 0.6672 0.2506 Pr
0.5000 0.8328 0.7506 Pr
0.0000 0.3328 0.7494 Pr
```

The following is a DFT calculation (PBE-GGA) of PrSm8Ho2 after structural relaxation.

Values from the calculation:
offset from the most stable computed form	0	meV/atom
crystal system	orthorhombic
formation energy	0.1111	eV/atom
space-group type	Immm, No. 71

Structure (POSCAR):
```
PrSm8Ho2
1.0
-3.9307 -3.9297 -0.9906
5.8530 -5.8260 -0.1133
-1.8767 3.8045 8.4432
Pr Sm Ho
1 8 2
direct
0.5000 0.0000 0.0000 Pr
0.6384 0.8430 0.2769 Sm
0.3616 0.5661 0.7232 Sm
0.1640 0.1640 0.3281 Sm
0.0000 0.2953 0.0000 Sm
0.8360 0.8360 0.6719 Sm
0.6384 0.4339 0.2768 Sm
0.3616 0.1570 0.7231 Sm
0.0000 0.7047 0.0000 Sm
0.1996 0.6996 0.3992 Ho
0.8004 0.3004 0.6008 Ho
```

The following is a DFT calculation (PBE-GGA) of BWSe2Br after structural relaxation.

Values from the calculation:
offset from the most stable computed form	493	meV/atom
crystal system	tetragonal
space-group type	P4/mmm, No. 123
ΔE_f (raw)	1.1348	eV/atom

Structure (POSCAR):
```
BWSe2Br
1.0
-4.6652 0.6163 -1.2948
0.9819 -1.8386 -4.4132
-1.1440 -4.9034 1.7883
B Se Br W
1 2 1 1
direct
0.5000 0.5000 0.5000 B
0.0000 0.5000 0.0000 Se
0.5000 0.0000 0.0000 Se
0.0000 0.0000 0.5000 Br
0.0000 0.0000 0.0000 W
```

The following is a DFT calculation (PBE-GGA) of Cd2InSi after structural relaxation.

Values from the calculation:
offset from the most stable computed form	3	meV/atom
crystal system	orthorhombic
space-group type	Immm, No. 71
ΔE_f (raw)	0.2535	eV/atom

Structure (POSCAR):
```
Cd2InSi
1.0
6.5735 -0.2084 0.2749
3.9544 5.2553 -0.2749
-4.6554 -3.7929 2.6966
Cd In Si
2 1 1
direct
0.0291 0.0291 0.0000 Cd
0.4709 0.4709 0.0000 Cd
0.7500 0.2500 0.5000 In
0.2500 0.7500 0.5000 Si
```